No. 1
First-principles (PBE) data for a relaxed RbZnGe crystal, as listed in OQMD. Values from VASP.

The structure in Quantum ESPRESSO input format:
```
&SYSTEM
  ibrav = 0, nat = 3, ntyp = 3
/
ATOMIC_SPECIES
Rb 85.47 Rb.upf
Ge 72.64 Ge.upf
Zn 65.41 Zn.upf
CELL_PARAMETERS angstrom
-2.198 -2.581 3.773
-4.803 0.995 1.292
-3.651 -3.369 -1.022
ATOMIC_POSITIONS crystal
Rb 0.000 0.000 0.000
Ge 0.500 0.500 0.500
Zn 0.250 0.250 0.250
```

Computed properties:
- symmetry = F-43m, No. 216
- electronic total energy (eV per atom) = -1.83



No. 2
First-principles (PBE) data for a relaxed RbZr3Ge5 crystal, as listed in OQMD. Values from VASP.

The structure in Quantum ESPRESSO input format:
```
&SYSTEM
  ibrav = 0, nat = 9, ntyp = 3
/
ATOMIC_SPECIES
Ge 72.64 Ge.upf
Zr 91.22 Zr.upf
Rb 85.47 Rb.upf
CELL_PARAMETERS angstrom
5.970 0.000 0.000
-2.985 5.171 0.000
0.000 0.000 6.897
ATOMIC_POSITIONS crystal
Ge 0.667 0.333 0.823
Zr 0.500 0.500 0.500
Ge 0.333 0.667 0.823
Ge 0.000 0.000 0.500
Ge 0.333 0.667 0.177
Zr 0.500 0.000 0.500
Ge 0.667 0.333 0.177
Zr 0.000 0.500 0.500
Rb 0.000 0.000 0.000
```

Computed properties:
- symmetry = P6/mmm, No. 191
- electronic total energy (eV per atom) = -5.71



No. 3
First-principles (PBE) data for a relaxed Re3Ge7 crystal, as listed in OQMD. Values from VASP.

The structure in Quantum ESPRESSO input format:
```
&SYSTEM
  ibrav = 0, nat = 20, ntyp = 2
/
ATOMIC_SPECIES
Ge 72.64 Ge.upf
Re 186.21 Re.upf
CELL_PARAMETERS angstrom
3.256 0.000 0.000
1.628 4.558 0.000
0.000 0.000 22.085
ATOMIC_POSITIONS crystal
Ge 0.238 0.524 0.250
Ge 0.325 0.351 0.863
Ge 0.675 0.649 0.363
Ge 0.675 0.649 0.137
Re 0.480 0.040 0.750
Ge 0.940 0.119 0.338
Ge 0.354 0.292 0.468
Ge 0.940 0.119 0.162
Re 0.927 0.147 0.559
Ge 0.060 0.881 0.662
Re 0.520 0.960 0.250
Ge 0.354 0.292 0.032
Re 0.927 0.147 0.941
Ge 0.646 0.708 0.532
Ge 0.646 0.708 0.968
Re 0.073 0.853 0.059
Ge 0.325 0.351 0.637
Ge 0.762 0.476 0.750
Ge 0.060 0.881 0.838
Re 0.073 0.853 0.441
```

Computed properties:
- symmetry = Cmcm, No. 63
- electronic total energy (eV per atom) = -6.96



No. 4
First-principles (PBE) data for a relaxed ScReGe2 crystal, as listed in OQMD. Values from VASP.

The structure in Quantum ESPRESSO input format:
```
&SYSTEM
  ibrav = 0, nat = 48, ntyp = 3
/
ATOMIC_SPECIES
Re 186.21 Re.upf
Ge 72.64 Ge.upf
Sc 44.96 Sc.upf
CELL_PARAMETERS angstrom
9.444 0.000 0.000
0.000 10.197 0.000
0.000 0.000 8.376
ATOMIC_POSITIONS crystal
Re 0.500 0.500 0.257
Re 0.579 0.249 0.749
Ge 0.037 0.380 0.000
Ge 0.827 0.181 0.847
Ge 0.959 0.618 0.500
Re 0.921 0.749 0.749
Ge 0.135 0.087 0.000
Ge 0.541 0.118 0.500
Ge 0.173 0.819 0.847
Sc 0.170 0.548 0.256
Sc 0.834 0.178 0.500
Re 0.579 0.249 0.251
Ge 0.142 0.098 0.500
Sc 0.830 0.452 0.256
Ge 0.642 0.402 0.500
Sc 0.670 0.952 0.256
Ge 0.463 0.880 0.000
Ge 0.173 0.819 0.153
Sc 0.170 0.548 0.744
Ge 0.858 0.902 0.500
Re 0.921 0.749 0.251
Sc 0.670 0.952 0.744
Ge 0.358 0.598 0.500
Ge 0.865 0.913 0.000
Sc 0.334 0.322 0.500
Ge 0.673 0.681 0.153
Sc 0.830 0.452 0.744
Sc 0.330 0.048 0.744
Re 0.000 0.000 0.743
Re 0.421 0.751 0.749
Sc 0.330 0.048 0.256
Re 0.079 0.251 0.749
Ge 0.041 0.382 0.500
Re 0.079 0.251 0.251
Ge 0.327 0.319 0.153
Ge 0.635 0.413 0.000
Sc 0.166 0.822 0.500
Ge 0.673 0.681 0.847
Re 0.000 0.000 0.257
Ge 0.963 0.620 0.000
Re 0.500 0.500 0.743
Ge 0.459 0.882 0.500
Sc 0.666 0.678 0.500
Ge 0.827 0.181 0.153
Re 0.421 0.751 0.251
Ge 0.537 0.120 0.000
Ge 0.365 0.587 0.000
Ge 0.327 0.319 0.847
```

Computed properties:
- symmetry = Pbam, No. 55
- electronic total energy (eV per atom) = -7.48



No. 5
First-principles (PBE) data for a relaxed ScReGe2 crystal, as listed in OQMD. Values from VASP.

The structure in Quantum ESPRESSO input format:
```
&SYSTEM
  ibrav = 0, nat = 4, ntyp = 3
/
ATOMIC_SPECIES
Sc 44.96 Sc.upf
Re 186.21 Re.upf
Ge 72.64 Ge.upf
CELL_PARAMETERS angstrom
2.297 1.326 3.750
-2.297 1.326 3.750
0.000 -2.652 3.750
ATOMIC_POSITIONS crystal
Sc 0.000 0.000 0.000
Re 0.250 0.250 0.250
Ge 0.500 0.500 0.500
Ge 0.750 0.750 0.750
```

Computed properties:
- symmetry = F-43m, No. 216
- electronic total energy (eV per atom) = -6.79



No. 6
First-principles (PBE) data for a relaxed ScReGe crystal, as listed in OQMD. Values from VASP.

The structure in Quantum ESPRESSO input format:
```
&SYSTEM
  ibrav = 0, nat = 3, ntyp = 3
/
ATOMIC_SPECIES
Ge 72.64 Ge.upf
Re 186.21 Re.upf
Sc 44.96 Sc.upf
CELL_PARAMETERS angstrom
0.000 3.028 3.028
3.028 0.000 3.028
3.028 3.028 0.000
ATOMIC_POSITIONS crystal
Ge 0.000 0.000 0.000
Re 0.250 0.250 0.250
Sc 0.750 0.750 0.750
```

Computed properties:
- symmetry = F-43m, No. 216
- electronic total energy (eV per atom) = -7.75



No. 7
First-principles (PBE) data for a relaxed Sc2ReGe crystal, as listed in OQMD. Values from VASP.

The structure in Quantum ESPRESSO input format:
```
&SYSTEM
  ibrav = 0, nat = 4, ntyp = 3
/
ATOMIC_SPECIES
Re 186.21 Re.upf
Sc 44.96 Sc.upf
Ge 72.64 Ge.upf
CELL_PARAMETERS angstrom
3.796 -0.512 2.517
1.040 3.080 3.231
-0.323 -1.128 4.430
ATOMIC_POSITIONS crystal
Re 0.250 0.250 0.250
Sc 0.750 0.750 0.750
Sc 0.000 0.000 0.000
Ge 0.500 0.500 0.500
```

Computed properties:
- symmetry = F-43m, No. 216
- electronic total energy (eV per atom) = -7.58



No. 8
First-principles (PBE) data for a relaxed ScReGe crystal, as listed in OQMD. Values from VASP.

The structure in Quantum ESPRESSO input format:
```
&SYSTEM
  ibrav = 0, nat = 3, ntyp = 3
/
ATOMIC_SPECIES
Ge 72.64 Ge.upf
Sc 44.96 Sc.upf
Re 186.21 Re.upf
CELL_PARAMETERS angstrom
0.000 3.137 3.137
3.137 0.000 3.137
3.137 3.137 0.000
ATOMIC_POSITIONS crystal
Ge 0.250 0.250 0.250
Sc 0.000 0.000 0.000
Re 0.750 0.750 0.750
```

Computed properties:
- symmetry = F-43m, No. 216
- electronic total energy (eV per atom) = -6.94



No. 9
First-principles (PBE) data for a relaxed TbRe4SiGe crystal, as listed in OQMD. Values from VASP.

The structure in Quantum ESPRESSO input format:
```
&SYSTEM
  ibrav = 0, nat = 7, ntyp = 4
/
ATOMIC_SPECIES
Re 186.21 Re.upf
Tb 158.93 Tb.upf
Ge 72.64 Ge.upf
Si 28.09 Si.upf
CELL_PARAMETERS angstrom
-0.716 -1.655 -3.643
4.399 -5.721 1.734
0.614 -6.779 2.959
ATOMIC_POSITIONS crystal
Re 0.000 0.307 0.307
Tb 0.000 0.998 0.998
Ge 0.500 0.582 0.582
Si 0.500 0.411 0.411
Re 0.500 0.191 0.191
Re 0.000 0.699 0.699
Re 0.500 0.813 0.813
```

Computed properties:
- symmetry = Amm2, No. 38
- electronic total energy (eV per atom) = -9.56



No. 10
First-principles (PBE) data for a relaxed SmReGe crystal, as listed in OQMD. Values from VASP.

The structure in Quantum ESPRESSO input format:
```
&SYSTEM
  ibrav = 0, nat = 3, ntyp = 3
/
ATOMIC_SPECIES
Ge 72.64 Ge.upf
Sm 150.36 Sm.upf
Re 186.21 Re.upf
CELL_PARAMETERS angstrom
-1.373 -4.475 -0.426
-0.951 -2.542 3.838
-4.437 -1.201 0.984
ATOMIC_POSITIONS crystal
Ge 0.250 0.250 0.250
Sm 0.000 0.000 0.000
Re 0.750 0.750 0.750
```

Computed properties:
- symmetry = F-43m, No. 216
- electronic total energy (eV per atom) = -5.99



No. 11
First-principles (PBE) data for a relaxed SmReGe crystal, as listed in OQMD. Values from VASP.

The structure in Quantum ESPRESSO input format:
```
&SYSTEM
  ibrav = 0, nat = 3, ntyp = 3
/
ATOMIC_SPECIES
Re 186.21 Re.upf
Sm 150.36 Sm.upf
Ge 72.64 Ge.upf
CELL_PARAMETERS angstrom
0.000 3.194 3.194
3.194 0.000 3.194
3.194 3.194 0.000
ATOMIC_POSITIONS crystal
Re 0.250 0.250 0.250
Sm 0.750 0.750 0.750
Ge 0.000 0.000 0.000
```

Computed properties:
- symmetry = F-43m, No. 216
- electronic total energy (eV per atom) = -6.94



No. 12
First-principles (PBE) data for a relaxed ReSnGe crystal, as listed in OQMD. Values from VASP.

The structure in Quantum ESPRESSO input format:
```
&SYSTEM
  ibrav = 0, nat = 3, ntyp = 3
/
ATOMIC_SPECIES
Re 186.21 Re.upf
Sn 118.71 Sn.upf
Ge 72.64 Ge.upf
CELL_PARAMETERS angstrom
0.000 3.132 3.132
3.132 0.000 3.132
3.132 3.132 0.000
ATOMIC_POSITIONS crystal
Re 0.000 0.000 0.000
Sn 0.750 0.750 0.750
Ge 0.250 0.250 0.250
```

Computed properties:
- symmetry = F-43m, No. 216
- electronic total energy (eV per atom) = -6.45



Q: The highest electronic total energy belongs to which entry?
A: RbZnGe



Q: Which value of electronic total energy does entry 2 give?
A: -5.71 eV per atom



What did the ninth record say?
First-principles (PBE) data for a relaxed TbRe4SiGe crystal, as listed in OQMD. Values from VASP.

The structure in Quantum ESPRESSO input format:
```
&SYSTEM
  ibrav = 0, nat = 7, ntyp = 4
/
ATOMIC_SPECIES
Re 186.21 Re.upf
Tb 158.93 Tb.upf
Ge 72.64 Ge.upf
Si 28.09 Si.upf
CELL_PARAMETERS angstrom
-0.716 -1.655 -3.643
4.399 -5.721 1.734
0.614 -6.779 2.959
ATOMIC_POSITIONS crystal
Re 0.000 0.307 0.307
Tb 0.000 0.998 0.998
Ge 0.500 0.582 0.582
Si 0.500 0.411 0.411
Re 0.500 0.191 0.191
Re 0.000 0.699 0.699
Re 0.500 0.813 0.813
```

Computed properties:
- symmetry = Amm2, No. 38
- electronic total energy (eV per atom) = -9.56